No. 1
Crystalline Sm3AlIn at its relaxed geometry, computed with PBE-GGA.

Geometry as POSCAR:
```
Sm3AlIn
1.0
4.876 0.000 1.114
0.000 5.002 0.000
-0.079 0.000 11.569
Sm In Al
6 2 2
Direct
0.074 0.750 0.500 Sm
0.886 0.750 0.876 Sm
0.574 0.250 0.500 Sm
0.762 0.250 0.124 Sm
0.262 0.750 0.124 Sm
0.386 0.250 0.876 Sm
0.480 0.750 0.689 In
0.169 0.250 0.311 In
0.669 0.750 0.311 Al
0.980 0.250 0.689 Al
```

Output
As for the energy relative to the lowest polymorph listed for this composition: 0.000 eV per atom. As for the crystal system: orthorhombic. The value obtained for the energy relative to the elements is -0.3114 eV/atom.


No. 2
Crystalline AcHoHg4 at its relaxed geometry, computed with PBE-GGA.

Geometry as POSCAR:
```
AcHoHg4
1.0
-0.785 3.419 -0.874
-3.140 -1.651 -3.642
-6.620 -0.055 5.732
Hg Ac Ho
4 1 1
Direct
0.499 0.997 0.158 Hg
0.499 0.497 0.320 Hg
0.499 0.497 0.676 Hg
0.498 0.997 0.838 Hg
0.999 0.997 0.498 Ac
0.999 0.497 0.998 Ho
```

Output
As for the energy relative to the lowest polymorph listed for this composition: 0.000 eV per atom. As for the crystal system: orthorhombic. The value obtained for the energy relative to the elements is -0.3884 eV/atom.


No. 3
Crystalline Sm3Mg2Sn3 at its relaxed geometry, computed with PBE-GGA.

Geometry as POSCAR:
```
Sm3Mg2Sn3
1.0
4.346 0.000 0.000
0.000 4.739 0.000
-2.173 -2.369 10.480
Sn Sm Mg
3 3 2
Direct
0.149 0.149 0.297 Sn
0.851 0.851 0.703 Sn
0.000 0.500 0.000 Sn
0.624 0.624 0.249 Sm
0.376 0.376 0.751 Sm
0.500 0.000 0.000 Sm
0.249 0.749 0.499 Mg
0.751 0.251 0.501 Mg
```

Output
As for the crystal system: orthorhombic. The value obtained for the energy relative to the elements is -0.4920 eV/atom.


No. 4
Crystalline ThGa2Si2Pt7 at its relaxed geometry, computed with PBE-GGA.

Geometry as POSCAR:
```
ThGa2Si2Pt7
1.0
-1.574 -1.025 -3.555
3.670 -0.520 -1.559
0.618 -13.993 1.916
Pt Th Si Ga
7 1 2 2
Direct
0.934 0.433 0.166 Pt
0.066 0.567 0.834 Pt
0.500 0.500 0.000 Pt
0.641 0.641 0.573 Pt
0.567 0.066 0.834 Pt
0.359 0.359 0.427 Pt
0.433 0.934 0.166 Pt
0.000 0.000 0.000 Th
0.396 0.396 0.263 Si
0.604 0.604 0.737 Si
0.082 0.082 0.591 Ga
0.918 0.918 0.409 Ga
```

Output
As for the crystal system: monoclinic. Its total energy is -74.5 eV for the cell shown.